1.
Density functional theory data (PBEsol) for crystalline BeAu at its relaxed geometry.

a = 4.576 Å, b = 4.576 Å, c = 4.185 Å
α = 104.43°, β = 104.43°, γ = 36.78°
Fractional positions:
Be (0.132, 0.132, 0.334)
Be (0.868, 0.868, 0.666)
Au (0.388, 0.388, 0.190)
Au (0.612, 0.612, 0.810)

V: 12.7 Å³ per atom
space-group type: C2/m


2.
Density functional theory data (PBEsol) for crystalline BeAu at its relaxed geometry.

a = 5.370 Å, b = 3.946 Å, c = 4.781 Å
α = 90.00°, β = 90.00°, γ = 90.00°
Fractional positions:
Be (0.055, 0.250, 0.140)
Be (0.445, 0.750, 0.640)
Be (0.555, 0.250, 0.360)
Be (0.945, 0.750, 0.860)
Au (0.179, 0.250, 0.622)
Au (0.321, 0.750, 0.122)
Au (0.679, 0.250, 0.878)
Au (0.821, 0.750, 0.378)

V: 12.7 Å³ per atom
space-group type: Pnma


no.,ΔE_f (eV per atom)
1,-0.154
2,-0.146